No. 1
A geometry-optimized Cs2BeBiPt structure, computed with PBE-GGA.

Properties
ΔE_f = 615 meV/atom
Spin magnetization = 0.0 μB/f.u.

```
data_Cs2BeBiPt
_cell_length_a 7.480
_cell_length_b 7.480
_cell_length_c 5.085
_cell_angle_alpha 90.00
_cell_angle_beta 90.00
_cell_angle_gamma 90.00
_symmetry_space_group_name_H-M 'P 4/m m m'
_symmetry_Int_Tables_number 123
_symmetry_space_group_name_Hall '-P 4 2'
loop_
_atom_site_label
_atom_site_type_symbol
_atom_site_fract_x
_atom_site_fract_y
_atom_site_fract_z
_atom_site_occupancy
Cs1 Cs 0.000 0.500 0.000 1
Be1 Be 0.000 0.000 0.500 1
Bi1 Bi 0.500 0.500 0.000 1
Pt1 Pt 0.500 0.500 0.500 1
```



No. 2
A geometry-optimized BeSi2Ru structure, computed with PBE-GGA.

Properties
Spin magnetization = 0.0 μB/f.u.
VASP energy = -5.61 eV/atom

```
data_BeSi2Ru
_cell_length_a 6.734
_cell_length_b 6.734
_cell_length_c 4.798
_cell_angle_alpha 90.00
_cell_angle_beta 90.00
_cell_angle_gamma 90.00
_symmetry_space_group_name_H-M 'I -4 2 d'
_symmetry_Int_Tables_number 122
_symmetry_space_group_name_Hall 'I -4 2bw'
loop_
_atom_site_label
_atom_site_type_symbol
_atom_site_fract_x
_atom_site_fract_y
_atom_site_fract_z
_atom_site_occupancy
Be1 Be 0.000 0.000 0.000 1
Si1 Si 0.249 0.250 0.625 1
Ru1 Ru 0.000 0.000 0.500 1
```



No. 3
A geometry-optimized Hf2ScGa2 structure, computed with PBE-GGA.

Properties
ΔE_f = 102 meV/atom
Spin magnetization = 0.0 μB/f.u.

```
data_Hf2ScGa2
_cell_length_a 5.965
_cell_length_b 10.192
_cell_length_c 7.848
_cell_angle_alpha 90.00
_cell_angle_beta 106.97
_cell_angle_gamma 90.00
_symmetry_space_group_name_H-M 'C 1 2/c 1'
_symmetry_Int_Tables_number 15
loop_
_symmetry_equiv_pos_as_xyz
'x,y,z'
'-x,-y,-z'
'-x,y,-z+1/2'
'x,-y,z+1/2'
'x+1/2,y+1/2,z'
'-x+1/2,-y+1/2,-z'
'-x+1/2,y+1/2,-z+1/2'
'x+1/2,-y+1/2,z+1/2'
loop_
_atom_site_label
_atom_site_type_symbol
_atom_site_fract_x
_atom_site_fract_y
_atom_site_fract_z
_atom_site_occupancy
Hf1 Hf 0.150 0.103 0.454 1
Sc1 Sc 0.000 0.393 0.750 1
Ga1 Ga 0.000 0.123 0.750 1
Ga2 Ga 0.000 0.330 0.250 1
```



No. 4
A geometry-optimized K3RbFe structure, computed with PBE-GGA.

Properties
ΔE_f = 674 meV/atom
Spin magnetization = 2.6 μB/f.u.

```
data_K3RbFe
_cell_length_a 6.794
_cell_length_b 6.794
_cell_length_c 6.794
_cell_angle_alpha 90.00
_cell_angle_beta 90.00
_cell_angle_gamma 90.00
_symmetry_space_group_name_H-M 'P m -3 m'
_symmetry_Int_Tables_number 221
_symmetry_space_group_name_Hall '-P 4 2 3'
loop_
_atom_site_label
_atom_site_type_symbol
_atom_site_fract_x
_atom_site_fract_y
_atom_site_fract_z
_atom_site_occupancy
K1 K 0.000 0.000 0.500 1
Rb1 Rb 0.500 0.500 0.500 1
Fe1 Fe 0.000 0.000 0.000 1
```



No. 5
A geometry-optimized CaZr2Be structure, computed with PBE-GGA.

Properties
ΔE_f = 453 meV/atom
Spin magnetization = 0.0 μB/f.u.

```
data_CaZr2Be
_cell_length_a 4.385
_cell_length_b 4.385
_cell_length_c 4.475
_cell_angle_alpha 90.00
_cell_angle_beta 90.00
_cell_angle_gamma 90.00
_symmetry_space_group_name_H-M 'P 4/m m m'
_symmetry_Int_Tables_number 123
_symmetry_space_group_name_Hall '-P 4 2'
loop_
_atom_site_label
_atom_site_type_symbol
_atom_site_fract_x
_atom_site_fract_y
_atom_site_fract_z
_atom_site_occupancy
Ca1 Ca 0.000 0.000 0.000 1
Zr1 Zr 0.000 0.500 0.500 1
Be1 Be 0.500 0.500 0.000 1
```



No. 6
A geometry-optimized Ba2TlSiNi structure, computed with PBE-GGA.

Properties
Spin magnetization = 0.0 μB/f.u.
VASP energy = -3.73 eV/atom

```
data_Ba2TlSiNi
_cell_length_a 6.091
_cell_length_b 6.091
_cell_length_c 4.411
_cell_angle_alpha 90.00
_cell_angle_beta 90.00
_cell_angle_gamma 90.00
_symmetry_space_group_name_H-M 'P 4/m m m'
_symmetry_Int_Tables_number 123
_symmetry_space_group_name_Hall '-P 4 2'
loop_
_atom_site_label
_atom_site_type_symbol
_atom_site_fract_x
_atom_site_fract_y
_atom_site_fract_z
_atom_site_occupancy
Ba1 Ba 0.000 0.500 0.000 1
Tl1 Tl 0.000 0.000 0.500 1
Si1 Si 0.500 0.500 0.500 1
Ni1 Ni 0.500 0.500 0.000 1
```



no.,volume (Å³/atom)
1,56.90
2,13.60
3,22.82
4,62.73
5,21.51
6,32.73